Compound: Al2V4O9
Source: Alexandria
Functional: PBE with a Hubbard U
Structure: optimized geometry

Lattice parameters (Å, degrees): 8.733 5.039 13.749 90.00 90.03 90.00
Space group C2/c (No. 15)
Symmetry-distinct sites (fractional):
Al  0.000  0.000  0.151 [8 per cell]
V  0.167  0.500  0.018 [8 per cell]
V  0.167  0.500  0.313 [8 per cell]
O  0.000  0.288  0.250 [4 per cell]
O  0.014  0.334  0.914 [8 per cell]
O  0.144  0.145  0.750 [8 per cell]
O  0.159  0.188  0.414 [8 per cell]
O  0.174  0.145  0.086 [8 per cell]

Properties
**Total moment**: 32.000 μB/cell
**E**: -7.815 eV per atom